This record from Alexandria describes CeGdTmAg after structural relaxation. The functional is PBE.

Computed properties:
calculated total energy: -0.4944 Ry per atom
M_tot: 41.46 μB per cell

```
data_CeGdTmAg
_cell_length_a 7.505
_cell_length_b 7.505
_cell_length_c 7.505
_cell_angle_alpha 90.00
_cell_angle_beta 90.00
_cell_angle_gamma 90.00
_symmetry_space_group_name_H-M 'F -4 3 m'
_symmetry_Int_Tables_number 216
_symmetry_space_group_name_Hall 'F -4 2 3'
loop_
_atom_site_label
_atom_site_type_symbol
_atom_site_fract_x
_atom_site_fract_y
_atom_site_fract_z
Ce1 Ce 0.000 0.000 0.000
Gd1 Gd 0.250 0.250 0.250
Tm1 Tm 0.250 0.250 0.750
Ag1 Ag 0.000 0.000 0.500
```


This record from Alexandria describes CeGdZnAg after structural relaxation. The functional is PBE.

Computed properties:
calculated total energy: -0.4577 Ry per atom
M_tot: 33.56 μB per cell

```
data_CeGdZnAg
_cell_length_a 7.338
_cell_length_b 7.338
_cell_length_c 7.338
_cell_angle_alpha 90.00
_cell_angle_beta 90.00
_cell_angle_gamma 90.00
_symmetry_space_group_name_H-M 'F -4 3 m'
_symmetry_Int_Tables_number 216
_symmetry_space_group_name_Hall 'F -4 2 3'
loop_
_atom_site_label
_atom_site_type_symbol
_atom_site_fract_x
_atom_site_fract_y
_atom_site_fract_z
Ce1 Ce 0.000 0.000 0.000
Gd1 Gd 0.000 0.000 0.500
Zn1 Zn 0.250 0.250 0.750
Ag1 Ag 0.250 0.250 0.250
```


This record from Alexandria describes Ce3Ag7Ge4 after structural relaxation. The functional is PBE.

Computed properties:
calculated total energy: -0.3189 Ry per atom
M_tot: 3.98 μB per cell

```
data_Ce3Ag7Ge4
_cell_length_a 16.423
_cell_length_b 4.485
_cell_length_c 9.613
_cell_angle_alpha 90.00
_cell_angle_beta 124.84
_cell_angle_gamma 90.00
_symmetry_space_group_name_H-M 'C 1 2/m 1'
_symmetry_Int_Tables_number 12
_symmetry_space_group_name_Hall '-C 2y'
loop_
_atom_site_label
_atom_site_type_symbol
_atom_site_fract_x
_atom_site_fract_y
_atom_site_fract_z
Ce1 Ce 0.000 0.000 0.000
Ce2 Ce 0.204 0.500 0.711
Ag1 Ag 0.000 0.000 0.500
Ag2 Ag 0.010 0.500 0.321
Ag3 Ag 0.153 0.000 0.425
Ag4 Ag 0.163 0.500 0.010
Ge1 Ge 0.131 0.000 0.841
Ge2 Ge 0.157 0.500 0.274
```


This record from Alexandria describes CeAg3Ge2 after structural relaxation. The functional is PBE.

Computed properties:
calculated total energy: -0.3108 Ry per atom
M_tot: 2.03 μB per cell

```
data_CeAg3Ge2
_cell_length_a 16.273
_cell_length_b 4.346
_cell_length_c 7.729
_cell_angle_alpha 90.00
_cell_angle_beta 117.19
_cell_angle_gamma 90.00
_symmetry_space_group_name_H-M 'C 1 2/m 1'
_symmetry_Int_Tables_number 12
_symmetry_space_group_name_Hall '-C 2y'
loop_
_atom_site_label
_atom_site_type_symbol
_atom_site_fract_x
_atom_site_fract_y
_atom_site_fract_z
Ce1 Ce 0.142 0.000 0.064
Ag1 Ag 0.052 0.000 0.394
Ag2 Ag 0.110 0.500 0.707
Ag3 Ag 0.188 0.500 0.445
Ge1 Ge 0.015 0.500 0.169
Ge2 Ge 0.211 0.000 0.746
```


This record from Alexandria describes CeAgGe2 after structural relaxation. The functional is PBE.

Computed properties:
calculated total energy: -0.3160 Ry per atom
M_tot: 0.00 μB per cell

```
data_CeAgGe2
_cell_length_a 3.0267
_cell_length_b 3.0267
_cell_length_c 31.6312
_cell_angle_alpha 90.00
_cell_angle_beta 90.00
_cell_angle_gamma 120.00
_symmetry_space_group_name_H-M 'R -3 m'
_symmetry_Int_Tables_number 166
_symmetry_space_group_name_Hall '-R 3 2"'
loop_
_atom_site_label
_atom_site_type_symbol
_atom_site_fract_x
_atom_site_fract_y
_atom_site_fract_z
Ce1 Ce 0.0000 0.0000 0.0000
Ag1 Ag 0.0000 0.0000 0.5000
Ge1 Ge 0.0000 0.0000 0.0960
```


This record from Alexandria describes CeAgGe after structural relaxation. The functional is PBE.

Computed properties:
calculated total energy: -0.3544 Ry per atom
M_tot: 3.98 μB per cell

```
data_CeAgGe
_cell_length_a 6.726
_cell_length_b 6.726
_cell_length_c 6.726
_cell_angle_alpha 90.00
_cell_angle_beta 90.00
_cell_angle_gamma 90.00
_symmetry_space_group_name_H-M 'F -4 3 m'
_symmetry_Int_Tables_number 216
_symmetry_space_group_name_Hall 'F -4 2 3'
loop_
_atom_site_label
_atom_site_type_symbol
_atom_site_fract_x
_atom_site_fract_y
_atom_site_fract_z
Ce1 Ce 0.000 0.000 0.000
Ag1 Ag 0.000 0.000 0.500
Ge1 Ge 0.250 0.250 0.250
```


This record from Alexandria describes Ce3Ag4Ge4 after structural relaxation. The functional is PBE.

Computed properties:
calculated total energy: -0.3526 Ry per atom
M_tot: 4.44 μB per cell

```
data_Ce3Ag4Ge4
_cell_length_a 4.469
_cell_length_b 7.190
_cell_length_c 14.694
_cell_angle_alpha 90.00
_cell_angle_beta 90.00
_cell_angle_gamma 90.00
_symmetry_space_group_name_H-M 'I m m m'
_symmetry_Int_Tables_number 71
_symmetry_space_group_name_Hall '-I 2 2'
loop_
_atom_site_label
_atom_site_type_symbol
_atom_site_fract_x
_atom_site_fract_y
_atom_site_fract_z
Ce1 Ce 0.000 0.000 0.000
Ce2 Ce 0.000 0.500 0.126
Ag1 Ag 0.000 0.305 0.331
Ge1 Ge 0.000 0.000 0.217
Ge2 Ge 0.000 0.182 0.500
```


This record from Alexandria describes Ce4AgGe12 after structural relaxation. The functional is PBE.

Computed properties:
calculated total energy: -0.3855 Ry per atom
M_tot: 2.57 μB per cell

```
data_Ce4AgGe12
_cell_length_a 8.848
_cell_length_b 8.848
_cell_length_c 8.848
_cell_angle_alpha 90.00
_cell_angle_beta 90.00
_cell_angle_gamma 90.00
_symmetry_space_group_name_H-M 'I m -3 m'
_symmetry_Int_Tables_number 229
_symmetry_space_group_name_Hall '-I 4 2 3'
loop_
_atom_site_label
_atom_site_type_symbol
_atom_site_fract_x
_atom_site_fract_y
_atom_site_fract_z
Ce1 Ce 0.250 0.250 0.250
Ag1 Ag 0.000 0.000 0.000
Ge1 Ge 0.000 0.000 0.303
Ge2 Ge 0.000 0.250 0.500
```


This record from Alexandria describes Ce2Ag2Ge3 after structural relaxation. The functional is PBE.

Computed properties:
calculated total energy: -0.3661 Ry per atom
M_tot: 6.94 μB per cell

```
data_Ce2Ag2Ge3
_cell_length_a 4.467
_cell_length_b 18.940
_cell_length_c 7.169
_cell_angle_alpha 90.00
_cell_angle_beta 90.00
_cell_angle_gamma 90.00
_symmetry_space_group_name_H-M 'C m c m'
_symmetry_Int_Tables_number 63
_symmetry_space_group_name_Hall '-C 2c 2'
loop_
_atom_site_label
_atom_site_type_symbol
_atom_site_fract_x
_atom_site_fract_y
_atom_site_fract_z
Ce1 Ce 0.000 0.051 0.250
Ce2 Ce 0.000 0.153 0.750
Ag1 Ag 0.000 0.310 0.555
Ge1 Ge 0.000 0.222 0.250
Ge2 Ge 0.000 0.440 0.071
```


This record from Alexandria describes CeAgGe after structural relaxation. The functional is PBE.

Computed properties:
calculated total energy: -0.3390 Ry per atom
M_tot: 1.30 μB per cell

```
data_CeAgGe
_cell_length_a 4.016
_cell_length_b 4.016
_cell_length_c 8.768
_cell_angle_alpha 90.00
_cell_angle_beta 90.00
_cell_angle_gamma 90.00
_symmetry_space_group_name_H-M 'I 4 m m'
_symmetry_Int_Tables_number 107
_symmetry_space_group_name_Hall 'I 4 -2'
loop_
_atom_site_label
_atom_site_type_symbol
_atom_site_fract_x
_atom_site_fract_y
_atom_site_fract_z
Ce1 Ce 0.000 0.000 0.000
Ag1 Ag 0.000 0.000 0.666
Ge1 Ge 0.000 0.000 0.348
```


This record from Alexandria describes CeAg4Ge2 after structural relaxation. The functional is PBE.

Computed properties:
calculated total energy: -0.2965 Ry per atom
M_tot: 1.62 μB per cell

```
data_CeAg4Ge2
_cell_length_a 4.220
_cell_length_b 15.693
_cell_length_c 4.202
_cell_angle_alpha 90.00
_cell_angle_beta 90.00
_cell_angle_gamma 90.00
_symmetry_space_group_name_H-M 'C m m m'
_symmetry_Int_Tables_number 65
_symmetry_space_group_name_Hall '-C 2 2'
loop_
_atom_site_label
_atom_site_type_symbol
_atom_site_fract_x
_atom_site_fract_y
_atom_site_fract_z
Ce1 Ce 0.000 0.000 0.000
Ag1 Ag 0.000 0.183 0.500
Ag2 Ag 0.000 0.316 0.000
Ge1 Ge 0.000 0.422 0.500
```


This record from Alexandria describes CeAg4Ge after structural relaxation. The functional is PBE.

Computed properties:
calculated total energy: -0.2727 Ry per atom
M_tot: 3.93 μB per cell

```
data_CeAg4Ge
_cell_length_a 7.950
_cell_length_b 7.950
_cell_length_c 7.950
_cell_angle_alpha 90.00
_cell_angle_beta 90.00
_cell_angle_gamma 90.00
_symmetry_space_group_name_H-M 'F -4 3 m'
_symmetry_Int_Tables_number 216
_symmetry_space_group_name_Hall 'F -4 2 3'
loop_
_atom_site_label
_atom_site_type_symbol
_atom_site_fract_x
_atom_site_fract_y
_atom_site_fract_z
Ce1 Ce 0.000 0.000 0.000
Ag1 Ag 0.125 0.125 0.625
Ge1 Ge 0.250 0.250 0.250
```


This record from Alexandria describes CeAg2Ge2 after structural relaxation. The functional is PBE.

Computed properties:
calculated total energy: -0.3341 Ry per atom
M_tot: 1.49 μB per cell

```
data_CeAg2Ge2
_cell_length_a 4.300
_cell_length_b 4.300
_cell_length_c 11.167
_cell_angle_alpha 90.00
_cell_angle_beta 90.00
_cell_angle_gamma 90.00
_symmetry_space_group_name_H-M 'I 4/m m m'
_symmetry_Int_Tables_number 139
_symmetry_space_group_name_Hall '-I 4 2'
loop_
_atom_site_label
_atom_site_type_symbol
_atom_site_fract_x
_atom_site_fract_y
_atom_site_fract_z
Ce1 Ce 0.000 0.000 0.000
Ag1 Ag 0.000 0.500 0.250
Ge1 Ge 0.000 0.000 0.391
```


This record from Alexandria describes CeAg2Ge2 after structural relaxation. The functional is PBE.

Computed properties:
calculated total energy: -0.3319 Ry per atom
M_tot: 3.20 μB per cell

```
data_CeAg2Ge2
_cell_length_a 4.173
_cell_length_b 4.299
_cell_length_c 22.970
_cell_angle_alpha 90.00
_cell_angle_beta 90.00
_cell_angle_gamma 90.00
_symmetry_space_group_name_H-M 'I m m a'
_symmetry_Int_Tables_number 74
_symmetry_space_group_name_Hall '-I 2b 2'
loop_
_atom_site_label
_atom_site_type_symbol
_atom_site_fract_x
_atom_site_fract_y
_atom_site_fract_z
Ce1 Ce 0.000 0.250 0.080
Ag1 Ag 0.000 0.250 0.295
Ag2 Ag 0.000 0.250 0.795
Ge1 Ge 0.000 0.250 0.527
Ge2 Ge 0.000 0.250 0.635
```


This record from Alexandria describes Ce4AgGe8 after structural relaxation. The functional is PBE.

Computed properties:
calculated total energy: -0.3965 Ry per atom
M_tot: 1.95 μB per cell

```
data_Ce4AgGe8
_cell_length_a 4.046
_cell_length_b 4.189
_cell_length_c 17.118
_cell_angle_alpha 90.00
_cell_angle_beta 90.00
_cell_angle_gamma 90.00
_symmetry_space_group_name_H-M 'P m m 2'
_symmetry_Int_Tables_number 25
_symmetry_space_group_name_Hall 'P 2 -2'
loop_
_atom_site_label
_atom_site_type_symbol
_atom_site_fract_x
_atom_site_fract_y
_atom_site_fract_z
Ce1 Ce 0.000 0.000 0.000
Ce2 Ce 0.000 0.500 0.476
Ce3 Ce 0.500 0.000 0.794
Ce4 Ce 0.500 0.500 0.273
Ag1 Ag 0.000 0.500 0.709
Ge1 Ge 0.000 0.000 0.325
Ge2 Ge 0.000 0.000 0.613
Ge3 Ge 0.000 0.500 0.136
Ge4 Ge 0.000 0.500 0.859
Ge5 Ge 0.500 0.000 0.138
Ge6 Ge 0.500 0.000 0.420
Ge7 Ge 0.500 0.500 0.611
Ge8 Ge 0.500 0.500 0.951
```


This record from Alexandria describes Ce4Ag5Ge6 after structural relaxation. The functional is PBE.

Computed properties:
calculated total energy: -0.3519 Ry per atom
M_tot: 2.88 μB per cell

```
data_Ce4Ag5Ge6
_cell_length_a 4.383
_cell_length_b 19.557
_cell_length_c 15.470
_cell_angle_alpha 90.00
_cell_angle_beta 90.00
_cell_angle_gamma 90.00
_symmetry_space_group_name_H-M 'C m c 21'
_symmetry_Int_Tables_number 36
_symmetry_space_group_name_Hall 'C 2c -2'
loop_
_atom_site_label
_atom_site_type_symbol
_atom_site_fract_x
_atom_site_fract_y
_atom_site_fract_z
Ce1 Ce 0.000 0.020 0.000
Ce2 Ce 0.000 0.039 0.263
Ce3 Ce 0.000 0.164 0.796
Ce4 Ce 0.000 0.178 0.444
Ag1 Ag 0.000 0.159 0.123
Ag2 Ag 0.000 0.305 0.117
Ag3 Ag 0.000 0.339 0.772
Ag4 Ag 0.000 0.351 0.473
Ag5 Ag 0.000 0.444 0.175
Ge1 Ge 0.000 0.107 0.612
Ge2 Ge 0.000 0.224 0.973
Ge3 Ge 0.000 0.235 0.268
Ge4 Ge 0.000 0.425 0.626
Ge5 Ge 0.000 0.431 0.906
Ge6 Ge 0.000 0.446 0.351
```


This record from Alexandria describes CeAgGe after structural relaxation. The functional is PBE.

Computed properties:
calculated total energy: -0.3658 Ry per atom
M_tot: 5.53 μB per cell

```
data_CeAgGe
_cell_length_a 7.304
_cell_length_b 4.416
_cell_length_c 12.407
_cell_angle_alpha 90.00
_cell_angle_beta 90.82
_cell_angle_gamma 90.00
_symmetry_space_group_name_H-M 'P 1 21/m 1'
_symmetry_Int_Tables_number 11
_symmetry_space_group_name_Hall '-P 2yb'
loop_
_atom_site_label
_atom_site_type_symbol
_atom_site_fract_x
_atom_site_fract_y
_atom_site_fract_z
Ce1 Ce 0.017 0.250 0.203
Ce2 Ce 0.338 0.750 0.580
Ce3 Ce 0.481 0.750 0.876
Ag1 Ag 0.004 0.250 0.590
Ag2 Ag 0.157 0.250 0.958
Ag3 Ag 0.355 0.750 0.297
Ge1 Ge 0.233 0.750 0.079
Ge2 Ge 0.247 0.250 0.412
Ge3 Ge 0.273 0.250 0.748
```


This record from Alexandria describes CeAgGe2 after structural relaxation. The functional is PBE.

Computed properties:
calculated total energy: -0.3591 Ry per atom
M_tot: 0.56 μB per cell

```
data_CeAgGe2
_cell_length_a 4.485
_cell_length_b 4.485
_cell_length_c 4.157
_cell_angle_alpha 90.00
_cell_angle_beta 90.00
_cell_angle_gamma 90.00
_symmetry_space_group_name_H-M 'P 4/m m m'
_symmetry_Int_Tables_number 123
_symmetry_space_group_name_Hall '-P 4 2'
loop_
_atom_site_label
_atom_site_type_symbol
_atom_site_fract_x
_atom_site_fract_y
_atom_site_fract_z
Ce1 Ce 0.000 0.000 0.000
Ag1 Ag 0.500 0.500 0.000
Ge1 Ge 0.000 0.500 0.500
```


This record from Alexandria describes Ce2AgGe2 after structural relaxation. The functional is PBE.

Computed properties:
calculated total energy: -0.3905 Ry per atom
M_tot: 1.25 μB per cell

```
data_Ce2AgGe2
_cell_length_a 7.489
_cell_length_b 7.489
_cell_length_c 4.122
_cell_angle_alpha 90.00
_cell_angle_beta 90.00
_cell_angle_gamma 90.00
_symmetry_space_group_name_H-M 'P 4/m b m'
_symmetry_Int_Tables_number 127
_symmetry_space_group_name_Hall '-P 4 2ab'
loop_
_atom_site_label
_atom_site_type_symbol
_atom_site_fract_x
_atom_site_fract_y
_atom_site_fract_z
Ce1 Ce 0.133 0.367 0.000
Ag1 Ag 0.000 0.000 0.500
Ge1 Ge 0.168 0.668 0.500
```


This record from Alexandria describes CeAgGe2 after structural relaxation. The functional is PBE.

Computed properties:
calculated total energy: -0.3632 Ry per atom
M_tot: 6.31 μB per cell

```
data_CeAgGe2
_cell_length_a 14.036
_cell_length_b 4.324
_cell_length_c 11.272
_cell_angle_alpha 90.00
_cell_angle_beta 90.00
_cell_angle_gamma 90.00
_symmetry_space_group_name_H-M 'P n m a'
_symmetry_Int_Tables_number 62
_symmetry_space_group_name_Hall '-P 2ac 2n'
loop_
_atom_site_label
_atom_site_type_symbol
_atom_site_fract_x
_atom_site_fract_y
_atom_site_fract_z
Ce1 Ce 0.046 0.250 0.245
Ce2 Ce 0.202 0.750 0.955
Ag1 Ag 0.060 0.250 0.545
Ag2 Ag 0.206 0.750 0.661
Ge1 Ge 0.042 0.250 0.974
Ge2 Ge 0.113 0.250 0.770
Ge3 Ge 0.134 0.750 0.442
Ge4 Ge 0.200 0.750 0.237
```


Number 1: formation energy 108 meV/atom. Number 2: formation energy -192 meV/atom. Number 3: formation energy -322 meV/atom. Number 4: formation energy -274 meV/atom. Number 5: formation energy 206 meV/atom. Number 6: formation energy -355 meV/atom. Number 7: formation energy -463 meV/atom. Number 8: formation energy -422 meV/atom. Number 9: formation energy -492 meV/atom. Number 10: formation energy -145 meV/atom. Number 11: formation energy -238 meV/atom. Number 12: formation energy -51 meV/atom. Number 13: formation energy -371 meV/atom. Number 14: formation energy -342 meV/atom. Number 15: formation energy -508 meV/atom. Number 16: formation energy -408 meV/atom. Number 17: formation energy -510 meV/atom. Number 18: formation energy -381 meV/atom. Number 19: formation energy -522 meV/atom. Number 20: formation energy -437 meV/atom.